! CoGe2IrO (PBE with a Hubbard U, relaxed); values from VASP
&SYSTEM
  ibrav = 0, nat = 5, ntyp = 4
/
ATOMIC_SPECIES
Co 58.93 Co.upf
Ge 72.64 Ge.upf
Ir 192.22 Ir.upf
O 16.00 O.upf
CELL_PARAMETERS angstrom
4.318 0.000 0.000
0.000 4.318 0.000
0.000 0.000 3.734
ATOMIC_POSITIONS crystal
Co 0.000 0.000 0.000
Ge 0.000 0.500 0.500
Ge 0.500 0.000 0.500
Ir 0.500 0.500 0.000
O 0.000 0.000 0.500
! Magnetic moment in μB/cell: 1.7
! Space-group type: P4/mmm
! Final energy in eV per atom: -5.55